[1]
Compound: Nb2FeRh
Source: the Alexandria database
Functional: PBE
Structure: optimized geometry

Space group: Fm-3m, No. 225
ΔE to the lowest computed polymorph in meV/atom: 94
Energy in eV/atom: -9.08
Formation energy from the elements in eV/atom: -0.09

Lattice parameters (Å, degrees): 4.4595 4.4595 4.4595 60.00 60.00 60.00
Last column: nearest neighbours and their distance in Å.
Fractional coordinates of all 4 atoms:
Nb: 0.2500 0.2500 0.2500  4 Fe 2.73, 4 Rh 2.73
Nb: 0.7500 0.7500 0.7500  4 Fe 2.73, 4 Rh 2.73
Fe: 0.0000 0.0000 0.0000  8 Nb 2.73
Rh: 0.5000 0.5000 0.5000  8 Nb 2.73

***

[2]
Compound: NbFeRh
Source: the Alexandria database
Functional: PBE
Structure: optimized geometry

Space group: P4/nmm, No. 129
Energy in eV/atom: -8.70
Formation energy from the elements in eV/atom: -0.07

Lattice parameters (Å, degrees): 3.7260 3.7260 6.6234 90.00 90.00 90.00
Last column: nearest neighbours and their distance in Å.
Fractional coordinates of all 6 atoms:
Nb: 0.2500 0.2500 0.1552  5 Rh 2.56-2.68
Nb: 0.7500 0.7500 0.8448  5 Rh 2.56-2.68
Fe: 0.2500 0.7500 0.5000  4 Rh 2.57, 4 Fe 2.63
Fe: 0.7500 0.2500 0.5000  4 Rh 2.57, 4 Fe 2.63
Rh: 0.2500 0.2500 0.7682  5 Nb 2.56-2.68, 4 Fe 2.57
Rh: 0.7500 0.7500 0.2318  5 Nb 2.56-2.68, 4 Fe 2.57

***

[3]
Compound: Nb2FeRh
Source: the Alexandria database
Functional: PBE
Structure: optimized geometry

Space group: P4/mmm, No. 123
ΔE to the lowest computed polymorph in meV/atom: 0
Energy in eV/atom: -9.18
Formation energy from the elements in eV/atom: -0.19

Lattice parameters (Å, degrees): 2.9011 2.9011 7.2413 90.00 90.00 90.00
Last column: nearest neighbours and their distance in Å.
Fractional coordinates of all 4 atoms:
Nb: 0.0000 0.0000 0.2305  4 Fe 2.64, 4 Rh 2.83, 4 Nb 2.90
Nb: 0.0000 0.0000 0.7695  4 Fe 2.64, 4 Rh 2.83, 4 Nb 2.90
Fe: 0.5000 0.5000 0.0000  8 Nb 2.64, 4 Fe 2.90
Rh: 0.5000 0.5000 0.5000  8 Nb 2.83, 4 Rh 2.90

***

The evaluated V for the records listed, in turn: 62.71; 91.95; 60.95 Å³/cell.